Below is a relaxed structure of ZnP2WO7, with properties calculated at the PBE with a Hubbard U level.

Output
Polymorph energy (0 for the lowest one)   0 meV/atom
Magnetization   2.89 μB per formula unit
Fermi-level density of states   1.73 states/eV/f.u.

```
data_ZnP2WO7
_space_group_name_H-M_alt 'P -1'
_space_group_IT_number 2
_space_group_name_Hall '-P 1'
_cell_length_a 6.718
_cell_length_b 6.723
_cell_length_c 7.013
_cell_angle_alpha 67.86
_cell_angle_beta 85.19
_cell_angle_gamma 81.52
loop_
_atom_site_label
_atom_site_type_symbol
_atom_site_fract_x
_atom_site_fract_y
_atom_site_fract_z
Zn1 Zn 0.176 0.148 0.394
P1 P 0.137 0.724 0.259
P2 P 0.383 0.845 0.854
W1 W 0.346 0.402 0.719
O1 O 0.021 0.411 0.753
O2 O 0.058 0.888 0.361
O3 O 0.213 0.860 0.031
O4 O 0.311 0.714 0.744
O5 O 0.329 0.572 0.372
O6 O 0.385 0.081 0.706
O7 O 0.418 0.254 0.036
```